No. 1
## CaNd3 (PBE)

Data for an optimized crystal structure of CaNd3.

Unit cell a=3.7191 b=5.9847 c=6.5295 alpha=90.00 beta=90.00 gamma=90.00
Sites, in units of the cell vectors:
Ca: 0.0000 0.0000 0.0000
Nd: 0.0000 0.5000 0.6667
Nd: 0.5000 0.0000 0.5031
Nd: 0.5000 0.5000 0.1844

Summary:
For the energy relative to the elements, the calculation gives 63 meV/atom. The uncorrected energy comes out at -4.013 eV per atom. Its crystal system is orthorhombic. Its space group is Pmm2.

No. 2
## FeTcPd (PBE)

Data for an optimized crystal structure of FeTcPd.

Unit cell a=4.3188 b=4.3188 c=2.5881 alpha=90.00 beta=90.00 gamma=120.00
Sites, in units of the cell vectors:
Fe: 0.0000 0.0000 0.0000
Tc: 0.3333 0.6667 0.5000
Pd: 0.6667 0.3333 0.0000

Summary:
For the energy relative to the elements, the calculation gives 143 meV/atom. The uncorrected energy comes out at -7.864 eV per atom. Its crystal system is hexagonal. Its space group is P-6m2.

No. 3
## Li3IrF6 (PBE)

Data for an optimized crystal structure of Li3IrF6.

Unit cell a=5.6007 b=5.6007 c=5.6007 alpha=60.00 beta=60.00 gamma=60.00
Sites, in units of the cell vectors:
Li: 0.0000 0.0000 0.0000
Li: 0.2500 0.2500 0.2500
Li: 0.7500 0.7500 0.7500
Ir: 0.5000 0.5000 0.5000
F: 0.2460 0.2460 0.7540
F: 0.2460 0.7540 0.2460
F: 0.2460 0.7540 0.7540
F: 0.7540 0.2460 0.2460
F: 0.7540 0.2460 0.7540
F: 0.7540 0.7540 0.2460

Summary:
The uncorrected energy comes out at -4.672 eV per atom. Its crystal system is cubic. Its formation energy from raw total energies is -2.089 eV per atom. Its space group is Fm-3m.

Repeat the second record exactly.
## FeTcPd (PBE)

Data for an optimized crystal structure of FeTcPd.

Unit cell a=4.3188 b=4.3188 c=2.5881 alpha=90.00 beta=90.00 gamma=120.00
Sites, in units of the cell vectors:
Fe: 0.0000 0.0000 0.0000
Tc: 0.3333 0.6667 0.5000
Pd: 0.6667 0.3333 0.0000

Summary:
For the energy relative to the elements, the calculation gives 143 meV/atom. The uncorrected energy comes out at -7.864 eV per atom. Its crystal system is hexagonal. Its space group is P-6m2.